[1]
Here is Zn2ReIr after structural relaxation from Alexandria via LeMat-Bulk. Energies are from PBE.

Unit cell a=3.782 b=3.782 c=8.176 alpha=90.00 beta=90.00 gamma=90.00
Fractional coordinates of all 8 atoms:
Zn 0.000 0.500 0.250
Zn 0.000 0.500 0.750
Zn 0.500 0.000 0.250
Zn 0.500 0.000 0.750
Re 0.000 0.000 0.000
Re 0.500 0.500 0.500
Ir 0.000 0.000 0.500
Ir 0.500 0.500 0.000

Values from the calculation:
total energy: -5.662 eV per atom
ΔE_f: 0.3018 eV/atom
N(E_F): 7.5 states/eV/cell
volume: 58.47 Å³/f.u.

[2]
Here is Zn2ReIr after structural relaxation from Alexandria via LeMat-Bulk. Energies are from PBE.

Unit cell a=3.943 b=3.943 c=7.388 alpha=90.00 beta=90.00 gamma=90.00
Fractional coordinates of all 8 atoms:
Zn 0.000 0.000 0.000
Zn 0.000 0.500 0.250
Zn 0.500 0.000 0.750
Zn 0.500 0.500 0.500
Re 0.000 0.000 0.500
Re 0.500 0.500 0.000
Ir 0.000 0.500 0.750
Ir 0.500 0.000 0.250

Values from the calculation:
total energy: -5.793 eV per atom
ΔE_f: 0.1717 eV/atom
N(E_F): 8.1 states/eV/cell
volume: 57.44 Å³/f.u.

[3]
Here is Zn2ReIr after structural relaxation from Alexandria via LeMat-Bulk. Energies are from PBE.

Unit cell a=8.876 b=2.755 c=4.809 alpha=90.00 beta=100.62 gamma=90.00
Fractional coordinates of all 8 atoms:
Zn 0.248 0.000 0.248
Zn 0.252 0.500 0.752
Zn 0.748 0.500 0.248
Zn 0.752 0.000 0.752
Re 0.000 0.000 0.500
Re 0.500 0.500 0.500
Ir 0.000 0.500 0.000
Ir 0.500 0.000 0.000

Values from the calculation:
total energy: -5.899 eV per atom
ΔE_f: 0.0656 eV/atom
N(E_F): 5.2 states/eV/cell
volume: 57.78 Å³/f.u.

[4]
Here is Zn2ReIr after structural relaxation from Alexandria via LeMat-Bulk. Energies are from PBE.

Unit cell a=7.017 b=7.017 c=5.123 alpha=90.00 beta=90.00 gamma=90.00
Fractional coordinates of all 16 atoms:
Zn 0.243 0.250 0.125
Zn 0.250 0.743 0.375
Zn 0.250 0.757 0.875
Zn 0.257 0.250 0.625
Zn 0.743 0.750 0.625
Zn 0.750 0.243 0.875
Zn 0.750 0.257 0.375
Zn 0.757 0.750 0.125
Re 0.000 0.000 0.500
Re 0.000 0.500 0.750
Re 0.500 0.000 0.250
Re 0.500 0.500 0.000
Ir 0.000 0.000 0.000
Ir 0.000 0.500 0.250
Ir 0.500 0.000 0.750
Ir 0.500 0.500 0.500

Values from the calculation:
total energy: -5.278 eV per atom
ΔE_f: 0.6863 eV/atom
N(E_F): 15.8 states/eV/cell
volume: 63.06 Å³/f.u.

[5]
Here is ZnRe3Ir after structural relaxation from Alexandria via LeMat-Bulk. Energies are from PBE.

Unit cell a=4.726 b=4.726 c=4.726 alpha=90.00 beta=90.00 gamma=90.00
Fractional coordinates of all 5 atoms:
Zn 0.000 0.000 0.000
Re 0.000 0.500 0.500
Re 0.500 0.000 0.500
Re 0.500 0.500 0.000
Ir 0.500 0.500 0.500

Values from the calculation:
total energy: -7.249 eV per atom
ΔE_f: 2.2465 eV/atom
N(E_F): 6.6 states/eV/cell
volume: 105.57 Å³/f.u.

[6]
Here is Zn2ReIr after structural relaxation from Alexandria via LeMat-Bulk. Energies are from PBE.

Unit cell a=2.794 b=4.495 c=4.661 alpha=90.00 beta=90.00 gamma=90.00
Fractional coordinates of all 4 atoms:
Zn 0.000 0.000 0.000
Zn 0.500 0.000 0.500
Re 0.000 0.500 0.500
Ir 0.500 0.500 0.000

Values from the calculation:
total energy: -5.831 eV per atom
ΔE_f: 0.1328 eV/atom
N(E_F): 2.8 states/eV/cell
volume: 58.53 Å³/f.u.

[7]
Here is ZnReIr2 after structural relaxation from Alexandria via LeMat-Bulk. Energies are from PBE.

Unit cell a=2.787 b=4.531 c=4.656 alpha=90.00 beta=90.00 gamma=90.00
Fractional coordinates of all 4 atoms:
Zn 0.000 0.000 0.000
Re 0.500 0.000 0.500
Ir 0.000 0.500 0.500
Ir 0.500 0.500 0.000

Values from the calculation:
total energy: -7.614 eV per atom
ΔE_f: 0.2475 eV/atom
N(E_F): 2.9 states/eV/cell
volume: 58.81 Å³/f.u.

[8]
Here is ZnReIr2 after structural relaxation from Alexandria via LeMat-Bulk. Energies are from PBE.

Unit cell a=3.979 b=3.979 c=3.704 alpha=90.00 beta=90.00 gamma=90.00
Fractional coordinates of all 4 atoms:
Zn 0.000 0.000 0.000
Re 0.500 0.500 0.000
Ir 0.000 0.500 0.500
Ir 0.500 0.000 0.500

Values from the calculation:
total energy: -7.652 eV per atom
ΔE_f: 0.2087 eV/atom
N(E_F): 5.4 states/eV/cell
volume: 58.64 Å³/f.u.

[9]
Here is Zn2ReIr after structural relaxation from Alexandria via LeMat-Bulk. Energies are from PBE.

Unit cell a=2.775 b=4.683 c=9.028 alpha=90.00 beta=90.00 gamma=90.00
Fractional coordinates of all 8 atoms:
Zn 0.000 0.000 0.245
Zn 0.000 0.000 0.755
Zn 0.500 0.500 0.255
Zn 0.500 0.500 0.745
Re 0.000 0.500 0.000
Re 0.500 0.000 0.500
Ir 0.000 0.500 0.500
Ir 0.500 0.000 0.000

Values from the calculation:
total energy: -5.841 eV per atom
ΔE_f: 0.1234 eV/atom
N(E_F): 5.9 states/eV/cell
volume: 58.67 Å³/f.u.

[10]
Here is ZnReIr2 after structural relaxation from Alexandria via LeMat-Bulk. Energies are from PBE.

Unit cell a=2.777 b=3.793 c=5.489 alpha=90.00 beta=90.00 gamma=90.00
Fractional coordinates of all 4 atoms:
Zn 0.000 0.000 0.000
Re 0.000 0.000 0.500
Ir 0.500 0.500 0.252
Ir 0.500 0.500 0.748

Values from the calculation:
total energy: -7.976 eV per atom
ΔE_f: -0.1147 eV/atom
N(E_F): 2.7 states/eV/cell
volume: 57.82 Å³/f.u.

[11]
Here is ZnReIr2 after structural relaxation from Alexandria via LeMat-Bulk. Energies are from PBE.

Unit cell a=2.789 b=2.789 c=26.029 alpha=90.00 beta=90.00 gamma=120.00
Fractional coordinates of all 12 atoms:
Zn 0.000 0.000 0.000
Zn 0.333 0.667 0.667
Zn 0.667 0.333 0.333
Re 0.000 0.000 0.500
Re 0.333 0.667 0.167
Re 0.667 0.333 0.833
Ir 0.000 0.000 0.249
Ir 0.000 0.000 0.751
Ir 0.333 0.667 0.418
Ir 0.333 0.667 0.916
Ir 0.667 0.333 0.084
Ir 0.667 0.333 0.582

Values from the calculation:
total energy: -7.973 eV per atom
ΔE_f: -0.1116 eV/atom
N(E_F): 12.8 states/eV/cell
volume: 58.45 Å³/f.u.

[12]
Here is Zn2ReIr after structural relaxation from Alexandria via LeMat-Bulk. Energies are from PBE.

Unit cell a=2.782 b=2.782 c=25.929 alpha=90.00 beta=90.00 gamma=120.00
Fractional coordinates of all 12 atoms:
Zn 0.000 0.000 0.248
Zn 0.000 0.000 0.752
Zn 0.333 0.667 0.418
Zn 0.333 0.667 0.915
Zn 0.667 0.333 0.085
Zn 0.667 0.333 0.582
Re 0.000 0.000 0.000
Re 0.333 0.667 0.667
Re 0.667 0.333 0.333
Ir 0.000 0.000 0.500
Ir 0.333 0.667 0.167
Ir 0.667 0.333 0.833

Values from the calculation:
total energy: -5.884 eV per atom
ΔE_f: 0.0806 eV/atom
N(E_F): 10.7 states/eV/cell
volume: 57.94 Å³/f.u.

[13]
Here is ZnReIr2 after structural relaxation from Alexandria via LeMat-Bulk. Energies are from PBE.

Unit cell a=4.600 b=4.600 c=2.797 alpha=90.00 beta=90.00 gamma=90.00
Fractional coordinates of all 4 atoms:
Zn 0.000 0.000 0.000
Re 0.500 0.500 0.000
Ir 0.000 0.500 0.500
Ir 0.500 0.000 0.500

Values from the calculation:
total energy: -7.706 eV per atom
ΔE_f: 0.1547 eV/atom
N(E_F): 5.9 states/eV/cell
volume: 59.20 Å³/f.u.

[14]
Here is ZnReIr2 after structural relaxation from Alexandria via LeMat-Bulk. Energies are from PBE.

Unit cell a=7.592 b=5.563 c=2.754 alpha=90.00 beta=90.16 gamma=90.00
Fractional coordinates of all 8 atoms:
Zn 0.000 0.000 0.000
Zn 0.500 0.500 0.000
Re 0.000 0.500 0.000
Re 0.500 0.000 0.000
Ir 0.250 0.250 0.500
Ir 0.250 0.750 0.500
Ir 0.750 0.250 0.500
Ir 0.750 0.750 0.500

Values from the calculation:
total energy: -7.883 eV per atom
ΔE_f: -0.0222 eV/atom
N(E_F): 7.7 states/eV/cell
volume: 58.15 Å³/f.u.

[15]
Here is ZnReIr2 after structural relaxation from Alexandria via LeMat-Bulk. Energies are from PBE.

Unit cell a=6.162 b=6.162 c=6.162 alpha=90.00 beta=90.00 gamma=90.00
Fractional coordinates of all 16 atoms:
Zn 0.000 0.000 0.000
Zn 0.000 0.500 0.500
Zn 0.500 0.000 0.500
Zn 0.500 0.500 0.000
Re 0.250 0.250 0.250
Re 0.250 0.750 0.750
Re 0.750 0.250 0.750
Re 0.750 0.750 0.250
Ir 0.000 0.000 0.500
Ir 0.000 0.500 0.000
Ir 0.250 0.250 0.750
Ir 0.250 0.750 0.250
Ir 0.500 0.000 0.000
Ir 0.500 0.500 0.500
Ir 0.750 0.250 0.250
Ir 0.750 0.750 0.750

Values from the calculation:
total energy: -7.584 eV per atom
ΔE_f: 0.2767 eV/atom
N(E_F): 22.8 states/eV/cell
volume: 58.50 Å³/f.u.

[16]
Here is Zn2ReIr after structural relaxation from Alexandria via LeMat-Bulk. Energies are from PBE.

Unit cell a=2.691 b=2.691 c=8.015 alpha=90.00 beta=90.00 gamma=90.00
Fractional coordinates of all 4 atoms:
Zn 0.000 0.000 0.239
Zn 0.000 0.000 0.761
Re 0.500 0.500 0.500
Ir 0.500 0.500 0.000

Values from the calculation:
total energy: -5.755 eV per atom
ΔE_f: 0.2088 eV/atom
N(E_F): 4.1 states/eV/cell
volume: 58.02 Å³/f.u.

[17]
Here is Zn2ReIr after structural relaxation from Alexandria via LeMat-Bulk. Energies are from PBE.

Unit cell a=2.858 b=4.475 c=9.026 alpha=90.00 beta=90.00 gamma=90.00
Fractional coordinates of all 8 atoms:
Zn 0.000 0.000 0.000
Zn 0.000 0.500 0.248
Zn 0.500 0.000 0.748
Zn 0.500 0.500 0.500
Re 0.000 0.000 0.492
Re 0.500 0.500 0.992
Ir 0.000 0.500 0.749
Ir 0.500 0.000 0.249

Values from the calculation:
total energy: -5.801 eV per atom
ΔE_f: 0.1632 eV/atom
N(E_F): 6.0 states/eV/cell
volume: 57.72 Å³/f.u.

[18]
Here is Zn2ReIr after structural relaxation from Alexandria via LeMat-Bulk. Energies are from PBE.

Unit cell a=2.730 b=4.428 c=4.836 alpha=90.00 beta=93.35 gamma=90.00
Fractional coordinates of all 4 atoms:
Zn 0.202 0.000 0.247
Zn 0.798 0.000 0.753
Re 0.500 0.500 0.000
Ir 0.000 0.500 0.500

Values from the calculation:
total energy: -5.851 eV per atom
ΔE_f: 0.1129 eV/atom
N(E_F): 2.7 states/eV/cell
volume: 58.36 Å³/f.u.

[19]
Here is Zn2ReIr after structural relaxation from Alexandria via LeMat-Bulk. Energies are from PBE.

Unit cell a=2.947 b=2.947 c=6.515 alpha=90.00 beta=90.00 gamma=90.00
Fractional coordinates of all 4 atoms:
Zn 0.000 0.000 0.240
Zn 0.000 0.000 0.760
Re 0.500 0.500 0.500
Ir 0.500 0.500 0.000

Values from the calculation:
total energy: -5.724 eV per atom
ΔE_f: 0.2400 eV/atom
N(E_F): 3.4 states/eV/cell
volume: 56.57 Å³/f.u.

[20]
Here is ZnRe3Ir after structural relaxation from Alexandria via LeMat-Bulk. Energies are from PBE.

Unit cell a=4.406 b=4.406 c=4.406 alpha=90.00 beta=90.00 gamma=90.00
Fractional coordinates of all 5 atoms:
Zn 0.000 0.000 0.000
Re 0.000 0.000 0.500
Re 0.000 0.500 0.000
Re 0.500 0.000 0.000
Ir 0.500 0.500 0.500

Values from the calculation:
total energy: -7.423 eV per atom
ΔE_f: 2.0730 eV/atom
N(E_F): 7.4 states/eV/cell
volume: 85.56 Å³/f.u.